Computed, not measured: a geometry-optimized MnInO3 structure at the GGA+U level of DFT.

Summary:
E_tot: -0.480 Ry per atom
SG: P2_1/c, No. 14
Crystal system: monoclinic

Cell lengths 5.849, 6.204, 6.789 Å; angles 90.00, 91.08, 90.00 degrees
Element x y z (fractional)
Mn 0.097 0.220 0.074
Mn 0.097 0.280 0.574
Mn 0.903 0.720 0.426
Mn 0.903 0.780 0.926
In 0.355 0.670 0.179
In 0.355 0.830 0.679
In 0.645 0.170 0.321
In 0.645 0.330 0.821
O 0.056 0.112 0.336
O 0.056 0.388 0.836
O 0.215 0.605 0.475
O 0.215 0.895 0.975
O 0.409 0.163 0.626
O 0.409 0.337 0.126
O 0.591 0.663 0.874
O 0.591 0.837 0.374
O 0.785 0.105 0.025
O 0.785 0.395 0.525
O 0.944 0.612 0.164
O 0.944 0.888 0.664